A geometry-optimized NaZn3Cr4O12 structure, computed with PBE with a Hubbard U.

```
20
Lattice="6.402 0.000 0.000 -2.134 6.035 0.000 -2.134 -3.018 5.227" Properties=species:S:1:pos:R:3 pbc="T T T"
O -2.172 3.231 3.638
O 3.770 3.636 0.979
O 2.172 -1.536 4.617
O -1.636 -0.618 4.248
O 2.632 0.971 3.638
O -0.498 2.047 1.589
O 2.096 1.269 0.979
O -0.038 4.553 0.610
O 4.305 -0.213 1.589
O 1.636 3.370 2.660
O 0.498 -0.352 2.567
O 0.038 1.748 4.248
Cr 3.201 0.000 0.000
Cr -1.067 3.018 0.000
Cr -1.067 -1.509 2.613
Cr 1.067 1.509 2.613
Zn 2.134 3.018 0.000
Zn -2.134 1.509 2.613
Zn 2.134 -1.509 2.613
Na 0.000 0.000 0.000
```

Calculated values
As for the space group: Im-3 (204). The calculation puts the density of states at the Fermi level at 0.529 states/eV per atom. The magnetic moment is 0.350 μB per atom. The value obtained for the total energy is -0.2262 hartree per atom.